1.
A plane-wave DFT calculation with PBE was carried out for a relaxed structure of Hg4Se4O9.

Cell lengths 10.026, 10.552, 15.359 Å; angles 90.00, 126.32, 90.00 degrees
Space group P2_1/c (No. 14)
Asymmetric unit:
Hg 0.034 0.218 0.071 [4 per cell]
Hg 0.125 0.591 0.735 [4 per cell]
Hg 0.158 0.544 0.201 [4 per cell]
Hg 0.439 0.712 0.711 [4 per cell]
Se 0.232 0.023 0.995 [4 per cell]
Se 0.264 0.507 0.023 [4 per cell]
Se 0.289 0.243 0.337 [4 per cell]
Se 0.338 0.732 0.322 [4 per cell]
O 0.078 0.542 0.365 [4 per cell]
O 0.108 0.182 0.729 [4 per cell]
O 0.125 0.033 0.388 [4 per cell]
O 0.145 0.169 0.983 [4 per cell]
O 0.192 0.072 0.587 [4 per cell]
O 0.197 0.567 0.572 [4 per cell]
O 0.223 0.663 0.032 [4 per cell]
O 0.309 0.123 0.272 [4 per cell]
O 0.439 0.149 0.859 [4 per cell]

**ΔE_f (raw)**: -56.4 kJ per mole of atoms
**Density**: 6.403 Mg/m³
**Total energy**: -278.8 eV per cell

2.
A plane-wave DFT calculation with PBE was carried out for a relaxed structure of SiHgSe2O8.

Cell lengths 8.075, 5.164, 10.407 Å; angles 90.00, 103.89, 90.00 degrees
Space group C2/m (No. 12)
Asymmetric unit:
Si 0.000 0.000 0.000 [2 per cell]
Hg 0.000 0.500 0.500 [2 per cell]
Se 0.197 0.500 0.155 [4 per cell]
O 0.060 0.242 0.129 [8 per cell]
O 0.181 0.000 0.698 [4 per cell]
O 0.211 0.000 0.977 [4 per cell]

**ΔE_f (raw)**: -83.8 kJ per mole of atoms
**Density**: 4.057 Mg/m³
**Total energy**: -125.6 eV per cell

3.
A plane-wave DFT calculation with PBE was carried out for a relaxed structure of SmHgSe2O8.

Cell lengths 9.408, 5.972, 8.224 Å; angles 90.00, 95.07, 90.00 degrees
Space group C2/m (No. 12)
Asymmetric unit:
Sm 0.000 0.000 0.000 [2 per cell]
Hg 0.000 0.000 0.500 [2 per cell]
Se 0.160 0.500 0.231 [4 per cell]
O 0.056 0.272 0.201 [8 per cell]
O 0.225 0.000 0.913 [4 per cell]
O 0.240 0.500 0.420 [4 per cell]

**ΔE_f (raw)**: -112.1 kJ per mole of atoms
**Density**: 4.595 Mg/m³
**Total energy**: -131.2 eV per cell

4.
A plane-wave DFT calculation with PBE was carried out for a relaxed structure of SnHg2SeO.

Cell lengths 4.718, 4.718, 5.225 Å; angles 90.00, 90.00, 90.00 degrees
Space group P4/mmm (No. 123)
Asymmetric unit:
Sn 0.000 0.000 0.000 [1 per cell]
Hg 0.000 0.500 0.500 [2 per cell]
Se 0.500 0.500 0.000 [1 per cell]
O 0.000 0.000 0.500 [1 per cell]

**ΔE_f (raw)**: -2.1 kJ per mole of atoms
**Density**: 8.779 Mg/m³
**Total energy**: -13.2 eV per cell